Material: LiCe2Y3S6
Method: DFT, PBE-GGA
State: optimized geometry

```
data_LiCe2Y3S6
_cell_length_a 6.818
_cell_length_b 11.829
_cell_length_c 6.847
_cell_angle_alpha 90.00
_cell_angle_beta 109.54
_cell_angle_gamma 90.00
_space_group_name_H-M_alt 'C 1 2/m 1'
_space_group_IT_number 12
loop_
_space_group_symop_operation_xyz
'x,y,z'
'-x,-y,-z'
'-x,y,-z'
'x,-y,z'
'x+1/2,y+1/2,z'
'-x+1/2,-y+1/2,-z'
'-x+1/2,y+1/2,-z'
'x+1/2,-y+1/2,z'
loop_
_atom_site_label
_atom_site_fract_x
_atom_site_fract_y
_atom_site_fract_z
Li1 0.000 0.000 0.000
Ce1 0.000 0.334 0.000
Y1 0.000 0.166 0.500
Y2 0.000 0.500 0.500
S1 0.239 0.000 0.748
S2 0.247 0.162 0.254
```

E_form (uncorrected) = -1953 meV per atom
magnetic moment = 3.33 μB/cell